# Ho3Ge2OsC (PBE, relaxed)
# D(E_F): 8.246 states/eV per cell
# Calculated formation energy: -3.555 eV/f.u.
data_Ho3Ge2OsC
_symmetry_space_group_name_H-M 'I m m m'
_symmetry_Int_Tables_number 71
_symmetry_space_group_name_Hall '-I 2 2'
_cell_length_a 3.949
_cell_length_b 4.697
_cell_length_c 15.418
_cell_angle_alpha 90.00
_cell_angle_beta 90.00
_cell_angle_gamma 90.00
loop_
_atom_site_label
_atom_site_type_symbol
_atom_site_fract_x
_atom_site_fract_y
_atom_site_fract_z
Ho1 Ho 0.000 0.000 0.000
Ho2 Ho 0.000 0.500 0.164
Ge1 Ge 0.000 0.500 0.353
Os1 Os 0.000 0.000 0.500
C1 C 0.000 0.500 0.000